## Fe5Co2Ni5 (PBE)

Data for Fe5Co2Ni5 after structural relaxation.

## Properties
Formation energy (eV per atom): -0.029
DOS(E_F) (states/eV per atom): 0.7646
Total moment (μB/cell): 19.82
SG: C2/m (12)

Lattice parameters (Å, degrees): 3.5973 7.4869 5.6600 71.62 71.47 76.10
With the nearest neighbours (Å) after each atom.
Sites, in units of the cell vectors:
Co 0.8306 0.5047 0.8341  5 Fe 2.47-2.52, 5 Ni 2.49-2.55, 2 Co 2.52
Co 0.1694 0.4953 0.1659  5 Fe 2.47-2.52, 5 Ni 2.49-2.55, 2 Co 2.52
Ni 0.6665 0.0020 0.6650  8 Fe 2.51-2.56, 4 Ni 2.52-2.53
Ni 0.5832 0.7476 0.0860  3 Ni 2.47-2.52, 3 Co 2.49-2.52, 6 Fe 2.51-2.52
Ni 0.3335 0.9980 0.3350  8 Fe 2.51-2.56, 4 Ni 2.52-2.53
Ni 0.4168 0.2524 0.9140  3 Ni 2.47-2.52, 3 Co 2.49-2.52, 6 Fe 2.51-2.52
Ni 0.5000 0.5000 0.5000  2 Ni 2.47, 6 Fe 2.49-2.56, 4 Co 2.55
Fe 0.2456 0.7496 0.7592  3 Co 2.47-2.49, 3 Fe 2.49-2.58, 6 Ni 2.51-2.56
Fe 0.9196 0.7457 0.4151  2 Co 2.47-2.52, 7 Ni 2.49-2.56, 3 Fe 2.50-2.58
Fe 0.0000 0.0000 0.0000  4 Fe 2.49-2.50, 8 Ni 2.52-2.54
Fe 0.0804 0.2543 0.5849  2 Co 2.47-2.52, 7 Ni 2.49-2.56, 3 Fe 2.50-2.58
Fe 0.7544 0.2504 0.2408  3 Co 2.47-2.49, 3 Fe 2.49-2.58, 6 Ni 2.51-2.56

## FeCo2Ni (PBE)

Data for FeCo2Ni after structural relaxation.

## Properties
Formation energy (eV per atom): 0.023
DOS(E_F) (states/eV per atom): 1.2097
Relative energy among the computed polymorphs (meV/atom): 48
Total moment (μB/cell): 6.39
SG: Cmmm (65)

Lattice parameters (Å, degrees): 2.4810 2.4810 7.2200 90.00 90.00 90.16
With the nearest neighbours (Å) after each atom.
Sites, in units of the cell vectors:
Ni 0.5000 0.5000 0.7500  4 Ni 2.48, 8 Co 2.49-2.50
Co 0.0000 0.0000 0.9959  4 Co 2.48, 4 Ni 2.49-2.50, 4 Fe 2.54
Co 0.0000 0.0000 0.5041  4 Co 2.48, 4 Ni 2.49-2.50, 4 Fe 2.54
Fe 0.5000 0.5000 0.2500  4 Fe 2.48, 8 Co 2.54

## FeCo23Ni6 (PBE)

Data for FeCo23Ni6 after structural relaxation.

## Properties
Formation energy (eV per atom): 0.161
DOS(E_F) (states/eV per atom): 1.2875
Total moment (μB/cell): 45.25
SG: Fm-3m (225)

Lattice parameters (Å, degrees): 7.8514 7.8514 7.8514 60.00 60.00 60.00
With the nearest neighbours (Å) after each atom.
Sites, in units of the cell vectors:
Co 0.1290 0.6131 0.1290  7 Co 2.38-2.60, 3 Ni 2.48
Co 0.8710 0.8710 0.8710  7 Co 2.38-2.60, 3 Ni 2.48
Co 0.0000 0.5000 0.0000  8 Co 2.34-2.38
Co 0.0896 0.6368 0.6368  6 Co 2.34-2.60, 3 Ni 2.45
Co 0.5000 0.0000 0.0000  8 Co 2.34-2.38
Co 0.8710 0.8710 0.3869  7 Co 2.38-2.60, 3 Ni 2.48
Co 0.5000 0.0000 0.5000  8 Co 2.34-2.38
Co 0.3869 0.8710 0.8710  7 Co 2.38-2.60, 3 Ni 2.48
Co 0.1290 0.1290 0.6131  7 Co 2.38-2.60, 3 Ni 2.48
Co 0.6368 0.6368 0.0896  6 Co 2.34-2.60, 3 Ni 2.45
Co 0.1290 0.1290 0.1290  7 Co 2.38-2.60, 3 Ni 2.48
Co 0.8710 0.3869 0.8710  7 Co 2.38-2.60, 3 Ni 2.48
Co 0.3632 0.3632 0.3632  6 Co 2.34-2.60, 3 Ni 2.45
Co 0.0000 0.5000 0.5000  8 Co 2.34-2.38
Co 0.3632 0.9104 0.3632  6 Co 2.34-2.60, 3 Ni 2.45
Co 0.9104 0.3632 0.3632  6 Co 2.34-2.60, 3 Ni 2.45
Co 0.6131 0.1290 0.1290  7 Co 2.38-2.60, 3 Ni 2.48
Co 0.0000 0.0000 0.0000  8 Co 2.48
Co 0.6368 0.6368 0.6368  6 Co 2.34-2.60, 3 Ni 2.45
Co 0.5000 0.5000 0.0000  8 Co 2.34-2.38
Co 0.0000 0.0000 0.5000  8 Co 2.34-2.38
Co 0.6368 0.0896 0.6368  6 Co 2.34-2.60, 3 Ni 2.45
Co 0.3632 0.3632 0.9104  6 Co 2.34-2.60, 3 Ni 2.45
Ni 0.2575 0.2575 0.7425  8 Co 2.45-2.48, 1 Fe 2.69
Ni 0.2575 0.7425 0.7425  8 Co 2.45-2.48, 1 Fe 2.69
Ni 0.2575 0.7425 0.2575  8 Co 2.45-2.48, 1 Fe 2.69
Ni 0.7425 0.7425 0.2575  8 Co 2.45-2.48, 1 Fe 2.69
Ni 0.7425 0.2575 0.2575  8 Co 2.45-2.48, 1 Fe 2.69
Ni 0.7425 0.2575 0.7425  8 Co 2.45-2.48, 1 Fe 2.69
Fe 0.5000 0.5000 0.5000  8 Co 2.63, 6 Ni 2.69

## Fe2CoNi6 (PBE)

Data for Fe2CoNi6 after structural relaxation.

## Properties
Formation energy (eV per atom): -0.047
DOS(E_F) (states/eV per atom): 0.8764
Relative energy among the computed polymorphs (meV/atom): 0
Total moment (μB/cell): 10.46
SG: Fmmm (69)

Lattice parameters (Å, degrees): 3.5229 5.5970 5.6015 84.32 71.67 71.66
With the nearest neighbours (Å) after each atom.
Sites, in units of the cell vectors:
Fe 0.3374 0.5000 0.8251  2 Co 2.47, 8 Ni 2.48-2.52, 2 Fe 2.56
Fe 0.6626 0.5000 0.1749  2 Co 2.47, 8 Ni 2.48-2.52, 2 Fe 2.56
Ni 0.3323 0.1693 0.1661  3 Fe 2.49-2.52, 8 Ni 2.49-2.52, 1 Co 2.50
Ni 0.9984 0.1693 0.8339  3 Fe 2.49-2.52, 8 Ni 2.49-2.52, 1 Co 2.50
Ni 0.0016 0.8307 0.1661  3 Fe 2.49-2.52, 8 Ni 2.49-2.52, 1 Co 2.50
Ni 0.6677 0.8307 0.8339  3 Fe 2.49-2.52, 8 Ni 2.49-2.52, 1 Co 2.50
Ni 0.6668 0.1664 0.5000  2 Fe 2.48, 8 Ni 2.50-2.52, 2 Co 2.50
Ni 0.3332 0.8336 0.5000  2 Fe 2.48, 8 Ni 2.50-2.52, 2 Co 2.50
Co 0.0000 0.5000 0.5000  4 Fe 2.47, 8 Ni 2.50

## Fe2CoNi4 (PBE)

Data for Fe2CoNi4 after structural relaxation.

## Properties
Formation energy (eV per atom): 0.969
DOS(E_F) (states/eV per atom): 1.3395
Relative energy among the computed polymorphs (meV/atom): 824
Total moment (μB/cell): 10.80
SG: I4/mmm (139)

Lattice parameters (Å, degrees): 4.2345 4.2345 6.5337 71.09 71.09 90.00
With the nearest neighbours (Å) after each atom.
Sites, in units of the cell vectors:
Fe 0.6102 0.6102 0.7796  5 Ni 2.25-2.47
Fe 0.3898 0.3898 0.2204  5 Ni 2.25-2.47
Co 0.0000 0.0000 0.0000  6 Ni 2.12-2.28
Ni 0.1963 0.1963 0.6073  1 Fe 2.25, 1 Co 2.28
Ni 0.0000 0.5000 0.0000  2 Co 2.12
Ni 0.8037 0.8037 0.3927  1 Fe 2.25, 1 Co 2.28
Ni 0.5000 0.0000 0.0000  2 Co 2.12

## FeCo3Ni7 (PBE)

Data for FeCo3Ni7 after structural relaxation.

## Properties
Formation energy (eV per atom): 0.357
DOS(E_F) (states/eV per atom): 1.2729
Total moment (μB/cell): 12.54
SG: C2/m (12)

Lattice parameters (Å, degrees): 4.3461 6.0979 6.0979 84.10 114.64 114.64
With the nearest neighbours (Å) after each atom.
Sites, in units of the cell vectors:
Ni 0.6751 0.9381 0.4123  3 Co 2.34-2.48, 4 Ni 2.36-2.56, 1 Fe 2.52
Ni 0.3249 0.0619 0.5877  3 Co 2.34-2.48, 4 Ni 2.36-2.56, 1 Fe 2.52
Ni 0.3310 0.2067 0.2067  1 Fe 2.32, 3 Co 2.35-2.36, 4 Ni 2.41-2.56
Ni 0.3249 0.5877 0.0619  3 Co 2.34-2.48, 4 Ni 2.36-2.56, 1 Fe 2.52
Ni 0.0000 0.5000 0.5000  2 Fe 2.17, 2 Co 2.36
Ni 0.6751 0.4123 0.9381  3 Co 2.34-2.48, 4 Ni 2.36-2.56, 1 Fe 2.52
Ni 0.6690 0.7933 0.7933  1 Fe 2.32, 3 Co 2.35-2.36, 4 Ni 2.41-2.56
Co 0.5000 0.0000 0.0000  6 Ni 2.34-2.36
Co 0.0000 0.7886 0.2114  7 Ni 2.35-2.48
Co 0.0000 0.2114 0.7886  7 Ni 2.35-2.48
Fe 0.5000 0.5000 0.5000  4 Ni 2.17-2.32

- What is the total moment in the first record?
  19.82 μB/cell